Computed, not measured: a relaxed structure of Zr4Nb2Co3C3 at the PBE level of DFT.

Cell and atoms, written as POSCAR:
```
Zr4Nb2Co3C3
1.0
-1.197 -4.409 3.119
5.174 1.965 -0.137
-3.788 10.294 8.346
Co Zr C Nb
6 8 6 4
Direct
0.835 0.109 0.251 Co
0.358 0.584 0.249 Co
0.324 0.074 0.250 Co
0.165 0.891 0.749 Co
0.676 0.926 0.750 Co
0.642 0.416 0.751 Co
0.397 0.869 0.097 Zr
0.729 0.701 0.597 Zr
0.271 0.299 0.403 Zr
0.600 0.964 0.403 Zr
0.061 0.198 0.097 Zr
0.939 0.802 0.903 Zr
0.400 0.036 0.597 Zr
0.603 0.131 0.903 Zr
0.657 0.814 0.000 C
0.343 0.186 0.000 C
0.000 0.500 0.000 C
0.000 0.000 0.500 C
0.686 0.343 0.500 C
0.314 0.657 0.500 C
0.269 0.468 0.902 Nb
0.731 0.532 0.098 Nb
0.065 0.366 0.598 Nb
0.935 0.634 0.402 Nb
```

Output
Total moment in μB per atom: 0.01
E in eV/atom: -8.83
Space group: C2/c (15)

***

Computed, not measured: a relaxed structure of Ta4CoNiC2 at the PBE level of DFT.

Cell and atoms, written as POSCAR:
```
Ta4CoNiC2
1.0
-2.727 -0.958 1.084
0.633 -0.236 -3.012
4.936 -11.821 1.965
Ni Ta C Co
1 4 2 1
Direct
0.667 0.333 0.500 Ni
0.667 0.333 0.151 Ta
0.667 0.333 0.849 Ta
0.000 0.000 0.653 Ta
0.000 0.000 0.347 Ta
0.333 0.667 0.751 C
0.333 0.667 0.249 C
0.000 0.000 0.000 Co
```

Output
Total moment in μB per atom: 0.01
E in eV/atom: -10.13
Space group: P-6m2 (187)

***

Computed, not measured: a relaxed structure of CoNiW4C2 at the PBE level of DFT.

Cell and atoms, written as POSCAR:
```
CoNiW4C2
1.0
-1.688 1.372 2.107
1.420 -2.594 0.651
10.194 6.560 3.899
W C Co Ni
4 2 1 1
Direct
0.000 0.000 0.658 W
0.667 0.333 0.155 W
0.000 0.000 0.342 W
0.667 0.333 0.845 W
0.333 0.667 0.751 C
0.333 0.667 0.249 C
0.000 0.000 0.000 Co
0.667 0.333 0.500 Ni
```

Output
Total moment in μB per atom: 0.07
E in eV/atom: -10.18
Space group: P-6m2 (187)